BeCdSe2: optimized geometry, PBE.

Summary:
raw total energy: -55.09 eV per cell
energy relative to the lowest polymorph listed for this composition: 145 meV per atom
raw formation energy: -0.54 eV/atom

Cell lengths 8.318, 10.724, 6.075 Å; angles 90.00, 122.31, 90.00 degrees
Space group C2/c (No. 15)
One atom of each set of equivalent atoms:
1 Be 0.000 0.001 0.250 [4 per cell]
2 Cd 0.000 0.303 0.750 [4 per cell]
3 Se 0.161 0.114 0.115 [8 per cell]